# 1
A geometry-optimized LiFeSeO4 structure, computed with PBE+U.

CIF file:
```
data_LiFeSeO4
_chemical_formula_sum 'Li4 Fe4 Se4 O16'
_cell_length_a 5.804
_cell_length_b 6.668
_cell_length_c 8.242
_cell_angle_alpha 90.00
_cell_angle_beta 90.00
_cell_angle_gamma 90.00
_symmetry_space_group_name_H-M 'I m m a'
_symmetry_Int_Tables_number 74
_symmetry_space_group_name_Hall '-I 2b 2'
loop_
_atom_site_label
_atom_site_type_symbol
_atom_site_fract_x
_atom_site_fract_y
_atom_site_fract_z
Li1 Li 0.000 0.000 0.000
Fe1 Fe 0.250 0.250 0.250
Se1 Se 0.000 0.250 0.652
O1 O 0.000 0.058 0.241
O2 O 0.233 0.250 0.525
```

E	-155.99	eV for the cell shown

# 2
A geometry-optimized Li2FeSeO structure, computed with PBE+U.

CIF file:
```
data_Li2FeSeO
_chemical_formula_sum 'Li2 Fe1 Se1 O1'
_cell_length_a 4.026
_cell_length_b 4.026
_cell_length_c 4.063
_cell_angle_alpha 90.00
_cell_angle_beta 90.00
_cell_angle_gamma 90.00
_symmetry_space_group_name_H-M 'P 4/m m m'
_symmetry_Int_Tables_number 123
_symmetry_space_group_name_Hall '-P 4 2'
loop_
_atom_site_label
_atom_site_type_symbol
_atom_site_fract_x
_atom_site_fract_y
_atom_site_fract_z
Li1 Li 0.000 0.500 0.000
Fe1 Fe 0.000 0.000 0.500
Se1 Se 0.500 0.500 0.500
O1 O 0.000 0.000 0.000
```

excess energy over the best structure of this formula in the dataset	0.00	eV per formula unit

# 3
A geometry-optimized LiFeSiO4 structure, computed with PBE+U.

CIF file:
```
data_LiFeSiO4
_chemical_formula_sum 'Li4 Fe4 Si4 O16'
_cell_length_a 5.736
_cell_length_b 6.034
_cell_length_c 10.508
_cell_angle_alpha 90.00
_cell_angle_beta 111.47
_cell_angle_gamma 90.00
_symmetry_space_group_name_H-M 'P 1 21/c 1'
_symmetry_Int_Tables_number 14
_symmetry_space_group_name_Hall '-P 2ybc'
loop_
_atom_site_label
_atom_site_type_symbol
_atom_site_fract_x
_atom_site_fract_y
_atom_site_fract_z
Li1 Li 0.097 0.003 0.306
Fe1 Fe 0.461 0.663 0.603
Si1 Si 0.351 0.151 0.625
O1 O 0.204 0.182 0.734
O2 O 0.275 0.570 0.027
O3 O 0.336 0.133 0.024
O4 O 0.359 0.637 0.761
```

excess energy over the best structure of this formula in the dataset	0.59	eV per formula unit

# 4
A geometry-optimized LiFeSiO4 structure, computed with PBE+U.

CIF file:
```
data_LiFeSiO4
_chemical_formula_sum 'Li2 Fe2 Si2 O8'
_cell_length_a 4.505
_cell_length_b 4.505
_cell_length_c 8.683
_cell_angle_alpha 90.00
_cell_angle_beta 90.00
_cell_angle_gamma 90.00
_symmetry_space_group_name_H-M 'I -4'
_symmetry_Int_Tables_number 82
_symmetry_space_group_name_Hall 'I -4'
loop_
_atom_site_label
_atom_site_type_symbol
_atom_site_fract_x
_atom_site_fract_y
_atom_site_fract_z
Li1 Li 0.000 0.000 0.000
Fe1 Fe 0.000 0.500 0.750
Si1 Si 0.000 0.000 0.500
O1 O 0.185 0.239 0.608
```

excess energy over the best structure of this formula in the dataset	0.48	eV per formula unit

# 5
A geometry-optimized Li7Fe6Si6O24 structure, computed with PBE+U.

CIF file:
```
data_Li7Fe6Si6O24
_chemical_formula_sum 'Li7 Fe6 Si6 O24'
_cell_length_a 8.585
_cell_length_b 8.639
_cell_length_c 8.728
_cell_angle_alpha 107.76
_cell_angle_beta 107.83
_cell_angle_gamma 106.91
_symmetry_space_group_name_H-M 'P 1'
_symmetry_Int_Tables_number 1
_symmetry_space_group_name_Hall 'P 1'
loop_
_atom_site_label
_atom_site_type_symbol
_atom_site_fract_x
_atom_site_fract_y
_atom_site_fract_z
Li1 Li 0.000 0.000 0.000
Li2 Li 0.071 0.094 0.308
Li3 Li 0.234 0.689 0.507
Li4 Li 0.358 0.605 0.968
Li5 Li 0.510 0.198 0.196
Li6 Li 0.759 0.365 0.799
Li7 Li 0.846 0.910 0.671
Fe1 Fe 0.097 0.704 0.128
Fe2 Fe 0.178 0.282 0.010
Fe3 Fe 0.396 0.424 0.611
Fe4 Fe 0.580 0.011 0.843
Fe5 Fe 0.682 0.933 0.311
Fe6 Fe 0.863 0.528 0.525
Si1 Si 0.009 0.267 0.638
Si2 Si 0.200 0.861 0.866
Si3 Si 0.424 0.044 0.463
Si4 Si 0.507 0.584 0.362
Si5 Si 0.723 0.748 0.951
Si6 Si 0.913 0.343 0.168
O1 O 0.033 0.227 0.158
O2 O 0.208 0.736 0.977
O3 O 0.223 0.405 0.707
O4 O 0.246 0.063 0.002
O5 O 0.262 0.839 0.375
O6 O 0.329 0.183 0.459
O7 O 0.340 0.854 0.773
O8 O 0.370 0.522 0.156
O9 O 0.398 0.572 0.488
O10 O 0.534 0.054 0.338
O11 O 0.565 0.105 0.671
O12 O 0.609 0.785 0.066
O13 O 0.615 0.455 0.378
O14 O 0.633 0.536 0.808
O15 O 0.658 0.791 0.437
O16 O 0.694 0.205 0.076
O17 O 0.731 0.881 0.846
O18 O 0.889 0.385 0.648
O19 O 0.924 0.112 0.431
O20 O 0.938 0.823 0.091
O21 O 0.944 0.461 0.052
O22 O 0.980 0.490 0.374
O23 O 0.992 0.163 0.764
O24 O 0.992 0.772 0.704
```

E	-293.48	eV for the cell shown

# 6
A geometry-optimized LiFeSiO4 structure, computed with PBE+U.

CIF file:
```
data_LiFeSiO4
_chemical_formula_sum 'Li4 Fe4 Si4 O16'
_cell_length_a 8.489
_cell_length_b 5.116
_cell_length_c 10.483
_cell_angle_alpha 90.00
_cell_angle_beta 127.79
_cell_angle_gamma 90.00
_symmetry_space_group_name_H-M 'P 1 c 1'
_symmetry_Int_Tables_number 7
_symmetry_space_group_name_Hall 'P -2yc'
loop_
_atom_site_label
_atom_site_type_symbol
_atom_site_fract_x
_atom_site_fract_y
_atom_site_fract_z
Li1 Li 0.000 0.058 0.000
Li2 Li 0.497 0.431 0.058
Fe1 Fe 0.495 0.067 0.739
Fe2 Fe 0.993 0.433 0.803
Si1 Si 0.247 0.070 0.368
Si2 Si 0.745 0.432 0.430
O1 O 0.046 0.067 0.828
O2 O 0.233 0.388 0.385
O3 O 0.263 0.003 0.223
O4 O 0.442 0.045 0.042
O5 O 0.549 0.432 0.766
O6 O 0.733 0.113 0.401
O7 O 0.758 0.500 0.090
O8 O 0.945 0.454 0.958
```

excess energy over the best structure of this formula in the dataset	0.15	eV per formula unit

# 7
A geometry-optimized LiFeSiO4 structure, computed with PBE+U.

CIF file:
```
data_LiFeSiO4
_chemical_formula_sum 'Li4 Fe4 Si4 O16'
_cell_length_a 8.615
_cell_length_b 5.202
_cell_length_c 8.508
_cell_angle_alpha 90.00
_cell_angle_beta 107.44
_cell_angle_gamma 90.00
_symmetry_space_group_name_H-M 'P 1 c 1'
_symmetry_Int_Tables_number 7
_symmetry_space_group_name_Hall 'P -2yc'
loop_
_atom_site_label
_atom_site_type_symbol
_atom_site_fract_x
_atom_site_fract_y
_atom_site_fract_z
Li1 Li 0.000 0.165 0.000
Li2 Li 0.486 0.324 0.342
Fe1 Fe 0.244 0.173 0.762
Fe2 Fe 0.735 0.327 0.106
Si1 Si 0.118 0.322 0.376
Si2 Si 0.614 0.182 0.733
O1 O 0.099 0.187 0.544
O2 O 0.150 0.367 0.900
O3 O 0.270 0.180 0.328
O4 O 0.452 0.300 0.773
O5 O 0.594 0.128 0.194
O6 O 0.643 0.338 0.576
O7 O 0.766 0.238 0.900
O8 O 0.955 0.264 0.221
```

excess energy over the best structure of this formula in the dataset	0.07	eV per formula unit

# 8
A geometry-optimized Li4Fe2SiO7 structure, computed with PBE+U.

CIF file:
```
data_Li4Fe2SiO7
_chemical_formula_sum 'Li4 Fe2 Si1 O7'
_cell_length_a 4.976
_cell_length_b 5.040
_cell_length_c 5.117
_cell_angle_alpha 94.79
_cell_angle_beta 100.77
_cell_angle_gamma 102.06
_symmetry_space_group_name_H-M 'P -1'
_symmetry_Int_Tables_number 2
_symmetry_space_group_name_Hall '-P 1'
loop_
_atom_site_label
_atom_site_type_symbol
_atom_site_fract_x
_atom_site_fract_y
_atom_site_fract_z
Li1 Li 0.078 0.153 0.301
Li2 Li 0.358 0.748 0.452
Fe1 Fe 0.199 0.418 0.843
Si1 Si 0.500 0.000 0.000
O1 O 0.000 0.500 0.500
O2 O 0.169 0.775 0.060
O3 O 0.305 0.083 0.694
O4 O 0.437 0.299 0.175
```

E	-87.14	eV for the cell shown